Record 1
Density functional theory data (GGA-PBE) for a relaxed K2Pr2PtO6 crystal.

Cell and atoms, written as CIF:
```
data_K2Pr2PtO6
_chemical_formula_sum 'K4 Pr4 Pt2 O12'
_space_group_name_H-M_alt 'C 1 2/m 1'
_space_group_IT_number 12
_space_group_name_Hall '-C 2y'
_cell_length_a 6.072
_cell_length_b 10.425
_cell_length_c 6.624
_cell_angle_alpha 90.00
_cell_angle_beta 104.23
_cell_angle_gamma 90.00
loop_
_atom_site_label
_atom_site_type_symbol
_atom_site_fract_x
_atom_site_fract_y
_atom_site_fract_z
K1 K 0.000 0.152 0.000
Pr1 Pr 0.000 0.336 0.500
Pt1 Pt 0.000 0.000 0.500
O1 O 0.193 0.151 0.673
O2 O 0.241 0.000 0.319
```

Output
Total DFT energy (no corrections)   -6.3006 eV/atom
Calculated density   5.321 Mg/m³
Energy relative to the elements, uncorrected   -1.978 eV per atom

---

Record 2
Density functional theory data (GGA-PBE) for a relaxed CaCuPb4 crystal.

Cell and atoms, written as CIF:
```
data_CaCuPb4
_chemical_formula_sum 'Ca4 Cu4 Pb16'
_space_group_name_H-M_alt 'F -4 3 m'
_space_group_IT_number 216
_space_group_name_Hall 'F -4 2 3'
_cell_length_a 9.115
_cell_length_b 9.115
_cell_length_c 9.115
_cell_angle_alpha 90.00
_cell_angle_beta 90.00
_cell_angle_gamma 90.00
loop_
_atom_site_label
_atom_site_type_symbol
_atom_site_fract_x
_atom_site_fract_y
_atom_site_fract_z
Ca1 Ca 0.000 0.000 0.000
Cu1 Cu 0.250 0.250 0.750
Pb1 Pb 0.125 0.125 0.375
```

Output
Formation energy   196 meV per atom
Total DFT energy (no corrections)   -3.2929 eV/atom
Calculated density   8.178 Mg/m³